Record 1
Entry from the Alexandria database: a relaxed structure of ZnTcNi2 (PBE).

The total energy is -5.82 eV/atom. As for the formation energy: -0.40 kcal/mol of atoms.

Cell: 2.6168 2.6168 7.2988 Å, 90.00 90.00 90.00°
Closest atoms and distances in Å follow each position.
Space group P4mm (No. 99)
Inequivalent atoms, fractional coordinates:
Zn1 0.0000 0.0000 0.0000  4 Ni 2.55, 4 Zn 2.62, 4 Tc 2.79
Tc1 0.5000 0.5000 0.7139  4 Ni 2.56, 4 Tc 2.62, 4 Zn 2.79
Ni1 0.0000 0.0000 0.4708  8 Ni 2.50-2.62, 4 Tc 2.56
Ni2 0.5000 0.5000 0.2395  8 Ni 2.50-2.62, 4 Zn 2.55

=====

Record 2
Entry from the Alexandria database: a relaxed structure of ScReRu2 (PBE).

The total energy is -9.22 eV/atom. As for the formation energy: 2.55 kcal/mol of atoms.

Cell: 6.2801 6.2801 6.2801 Å, 90.00 90.00 90.00°
Closest atoms and distances in Å follow each position.
Space group F-43m (No. 216)
Inequivalent atoms, fractional coordinates:
Sc1 0.0000 0.0000 0.0000  4 Ru 2.72, 4 Re 2.72
Re1 0.2500 0.2500 0.7500  4 Ru 2.72, 4 Sc 2.72
Ru1 0.0000 0.0000 0.5000  4 Re 2.72, 4 Ru 2.72
Ru2 0.2500 0.2500 0.2500  4 Ru 2.72, 4 Sc 2.72

=====

Record 3
Entry from the Alexandria database: a relaxed structure of MgZn2Mo (PBE).

The total energy is -3.64 eV/atom. As for the formation energy: 2.46 kcal/mol of atoms.

Cell: 3.5556 4.1707 8.6330 Å, 90.00 90.00 90.00°
Closest atoms and distances in Å follow each position.
Space group Cmm2 (No. 35)
Inequivalent atoms, fractional coordinates:
Mg1 0.0000 0.0000 0.0000  4 Mg 2.74, 2 Zn 2.87, 2 Mo 2.88
Zn1 0.0000 0.0000 0.5013  8 Zn 2.71-2.92, 4 Mo 2.73-2.94
Zn2 0.0000 0.5000 0.7384  8 Zn 2.71-2.92, 2 Mg 2.87
Mo1 0.0000 0.5000 0.2619  4 Zn 2.73-2.94, 4 Mo 2.74, 2 Mg 2.88

=====

Record 4
Entry from the Alexandria database: a relaxed structure of AcSm8Tm3 (PBE).

The total energy is -4.58 eV/atom. As for the formation energy: 0.52 kcal/mol of atoms.

Cell: 6.3046 6.3046 11.7015 Å, 90.00 90.00 120.00°
Closest atoms and distances in Å follow each position.
Space group P-31m (No. 162)
Inequivalent atoms, fractional coordinates:
Ac1 0.0000 0.0000 0.0000  12 Sm 3.64-3.67
Sm1 0.0000 0.3368 0.7438  3 Tm 3.54-3.56, 8 Sm 3.62-3.68, 1 Ac 3.67
Sm2 0.3333 0.6667 0.0000  3 Ac 3.64, 9 Sm 3.64-3.66
Tm1 0.0000 0.0000 0.5000  6 Sm 3.56, 6 Tm 3.64
Tm2 0.3333 0.6667 0.5000  6 Sm 3.54, 6 Tm 3.64

=====

Record 5
Entry from the Alexandria database: a relaxed structure of MgMnGaSiS (PBE).

The value obtained for the energy relative to the elements, uncorrected is -282.3 meV per atom. The energy above the most stable polymorph in this dataset comes out at 0.038 eV per atom. The total energy is -4.95 eV/atom.

Cell: 3.2338 3.2345 7.8779 Å, 90.00 90.01 90.00°
Closest atoms and distances in Å follow each position.
Space group Pm (No. 6)
Inequivalent atoms, fractional coordinates:
Mg1 0.0000 0.0000 0.0000  4 S 2.50
Mn1 0.0004 0.0000 0.6271  4 Si 2.47
Ga1 0.5024 0.5000 0.4288  1 S 2.36, 1 Si 2.49
Si1 0.5002 0.5000 0.7443  4 Mn 2.47, 1 Ga 2.49
S1 0.5002 0.5000 0.1286  1 Ga 2.36, 4 Mg 2.50

=====

Record 6
Entry from the Alexandria database: a relaxed structure of MgFe2I (PBE).

The value obtained for the energy relative to the elements, uncorrected is 788.6 meV per atom. The energy above the most stable polymorph in this dataset comes out at 0.000 eV per atom. The total energy is -4.23 eV/atom.

Cell: 6.3774 6.3774 6.3774 Å, 90.00 90.00 90.00°
Closest atoms and distances in Å follow each position.
Space group Fm-3m (No. 225)
Inequivalent atoms, fractional coordinates:
Mg1 0.0000 0.0000 0.0000  8 Fe 2.76
Fe1 0.2500 0.2500 0.2500  4 Mg 2.76, 4 I 2.76
I1 0.0000 0.0000 0.5000  8 Fe 2.76

=====

Record 7
Entry from the Alexandria database: a relaxed structure of K2RbGd (PBE).

The total energy is -3.90 eV/atom. As for the formation energy: 9.39 kcal/mol of atoms.

Cell: 4.0721 4.0721 48.8894 Å, 90.00 90.00 120.00°
Closest atoms and distances in Å follow each position.
Space group R-3m (No. 166, hexagonal axes)
Inequivalent atoms, fractional coordinates:
K1 0.0000 0.0000 0.0792  1 Gd 3.87, 6 K 4.07
Rb1 0.0000 0.0000 0.5000  6 Rb 4.07
Gd1 0.0000 0.0000 0.0000  2 K 3.87, 6 Gd 4.07

=====

Record 8
Entry from the Alexandria database: a relaxed structure of La2Zn4CdSi3 (PBE).

The value obtained for the energy relative to the elements, uncorrected is -397.3 meV per atom. The total energy is -3.61 eV/atom.

Cell: 4.3216 4.3216 10.5433 Å, 90.00 90.00 90.00°
Closest atoms and distances in Å follow each position.
Space group P-4m2 (No. 115)
Inequivalent atoms, fractional coordinates:
La1 0.0000 0.5000 0.2420  6 Si 3.28-3.47, 8 Zn 3.30-3.34, 2 Cd 3.47
Zn1 0.0000 0.0000 0.0000  4 Si 2.56
Zn2 0.0000 0.5000 0.6408  3 Si 2.41-2.62, 2 Cd 2.62
Zn3 0.5000 0.5000 0.0000  4 Si 2.56
Cd1 0.0000 0.0000 0.5000  4 Zn 2.62
Si1 0.0000 0.5000 0.8697  5 Zn 2.41-2.56
Si2 0.5000 0.5000 0.5000  4 Zn 2.62